# Rb2Na4Au, relaxed, DFT GGA-PBE
data_Rb2Na4Au
_space_group_name_H-M_alt 'I 4/m m m'
_space_group_IT_number 139
_space_group_name_Hall '-I 4 2'
_cell_length_a 5.838
_cell_length_b 5.838
_cell_length_c 20.439
_cell_angle_alpha 90.00
_cell_angle_beta 90.00
_cell_angle_gamma 90.00
loop_
_atom_site_label
_atom_site_type_symbol
_atom_site_fract_x
_atom_site_fract_y
_atom_site_fract_z
Rb1 Rb 0.000 0.000 0.154
Na1 Na 0.000 0.000 0.360
Na2 Na 0.000 0.500 0.000
Au1 Au 0.000 0.000 0.500
# ρ ... 2.19 g/cm3
# V ... 49.8 A^3/atom
# DFT formation energy ... -0.045 eV/atom
# Energy relative to the lowest polymorph listed for this composition ... 57.2 meV per atom
# D(E_F) ... 4.0 states/eV/f.u.

=====

# Rb11NaAu5, relaxed, DFT GGA-PBE
data_Rb11NaAu5
_space_group_name_H-M_alt 'C 1 2/m 1'
_space_group_IT_number 12
_space_group_name_Hall '-C 2y'
_cell_length_a 13.424
_cell_length_b 16.206
_cell_length_c 8.750
_cell_angle_alpha 90.00
_cell_angle_beta 107.36
_cell_angle_gamma 90.00
loop_
_atom_site_label
_atom_site_type_symbol
_atom_site_fract_x
_atom_site_fract_y
_atom_site_fract_z
Rb1 Rb 0.000 0.000 0.000
Rb2 Rb 0.085 0.231 0.807
Rb3 Rb 0.169 0.500 0.883
Rb4 Rb 0.188 0.372 0.407
Na1 Na 0.000 0.000 0.500
Au1 Au 0.000 0.500 0.500
Au2 Au 0.176 0.171 0.201
# ρ ... 3.56 g/cm3
# V ... 53.4 A^3/atom
# DFT formation energy ... -0.149 eV/atom
# D(E_F) ... 11.0 states/eV/f.u.

=====

# Rb3NaAu6, relaxed, DFT GGA-PBE
data_Rb3NaAu6
_space_group_name_H-M_alt 'C 1 2/m 1'
_space_group_IT_number 12
_space_group_name_Hall '-C 2y'
_cell_length_a 11.604
_cell_length_b 7.247
_cell_length_c 7.055
_cell_angle_alpha 90.00
_cell_angle_beta 109.96
_cell_angle_gamma 90.00
loop_
_atom_site_label
_atom_site_type_symbol
_atom_site_fract_x
_atom_site_fract_y
_atom_site_fract_z
Rb1 Rb 0.000 0.000 0.000
Rb2 Rb 0.021 0.500 0.764
Na1 Na 0.000 0.000 0.500
Au1 Au 0.235 0.000 0.440
Au2 Au 0.242 0.195 0.801
# ρ ... 8.70 g/cm3
# V ... 27.9 A^3/atom
# DFT formation energy ... -0.168 eV/atom
# D(E_F) ... 3.5 states/eV/f.u.

=====

# Rb6NaAu2, relaxed, DFT GGA-PBE
data_Rb6NaAu2
_space_group_name_H-M_alt 'I m m m'
_space_group_IT_number 71
_space_group_name_Hall '-I 2 2'
_cell_length_a 12.118
_cell_length_b 12.455
_cell_length_c 13.185
_cell_angle_alpha 90.00
_cell_angle_beta 90.00
_cell_angle_gamma 90.00
loop_
_atom_site_label
_atom_site_type_symbol
_atom_site_fract_x
_atom_site_fract_y
_atom_site_fract_z
Rb1 Rb 0.000 0.215 0.227
Rb2 Rb 0.185 0.500 0.171
Rb3 Rb 0.200 0.322 0.500
Na1 Na 0.000 0.000 0.000
Na2 Na 0.000 0.000 0.500
Au1 Au 0.000 0.373 0.000
Au2 Au 0.000 0.500 0.388
# ρ ... 3.10 g/cm3
# V ... 55.3 A^3/atom
# DFT formation energy ... -0.127 eV/atom
# D(E_F) ... 4.6 states/eV/f.u.

=====

Question: Among the records above, which one has the lowest D(E_F)?
Answer: Rb3NaAu6

=====

Question: D(E_F) of number 2 (Rb11NaAu5)?
Answer: 11.0 states/eV/f.u.

=====

Question: Number 1 is which compound?
Answer: Rb2Na4Au